[1]
## ThI4 (SCAN)

Data for a PBEsol-optimized structure of ThI4.

Lattice parameters (Å, degrees): 7.8874 8.0671 14.2121 90.00 114.16 90.00
With the nearest neighbours (Å) after each atom.
Space group P2_1/c (No. 14)
Symmetry-distinct sites (fractional):
Th 0.0046 0.0114 0.1831 (multiplicity 4)  8 I 3.11-3.26
I 0.1548 0.1426 0.6567 (multiplicity 4)  2 Th 3.11-3.26
I 0.2134 0.1846 0.4055 (multiplicity 4)  2 Th 3.12-3.22
I 0.2447 0.5875 0.5582 (multiplicity 4)  2 Th 3.18-3.24
I 0.3119 0.7474 0.8201 (multiplicity 4)  2 Th 3.15-3.19

Computed properties:
- magnetization (μB/atom) = 0.00
- D(E_F) (states/eV/f.u.) = 0.00
- uncorrected formation energy (meV per atom) = -1281

***

[2]
## ThI3 (SCAN)

Data for a PBEsol-optimized structure of ThI3.

Lattice parameters (Å, degrees): 9.0420 19.8818 14.6152 90.00 90.00 90.00
With the nearest neighbours (Å) after each atom.
Space group Cccm (No. 66)
Symmetry-distinct sites (fractional):
Th 0.0000 0.0000 0.0000 (multiplicity 4)  8 I 3.26-3.28
Th 0.0000 0.0000 0.2500 (multiplicity 4)  8 I 3.20-3.21
Th 0.1705 0.1715 0.0000 (multiplicity 8)  8 I 3.16-3.26, 1 Th 3.44
I 0.0183 0.3056 0.5000 (multiplicity 8)  2 Th 3.17-3.18
I 0.1056 0.1250 0.3716 (multiplicity 16)  3 Th 3.20-3.26
I 0.2223 0.4527 0.1295 (multiplicity 16)  3 Th 3.21-3.28
I 0.2500 0.2500 0.1816 (multiplicity 8)  2 Th 3.16

Computed properties:
- magnetization (μB/atom) = 0.00
- D(E_F) (states/eV/f.u.) = 0.58
- uncorrected formation energy (meV per atom) = -1241

***

[3]
## Ti3TlI (SCAN)

Data for a PBEsol-optimized structure of Ti3TlI.

Lattice parameters (Å, degrees): 4.9341 4.9341 4.9341 90.00 90.00 90.00
With the nearest neighbours (Å) after each atom.
Space group Pm-3m (No. 221)
Symmetry-distinct sites (fractional):
Ti 0.0000 0.0000 0.5000 (multiplicity 3)  2 I 2.47
Tl 0.5000 0.5000 0.5000 (multiplicity 1)  12 Ti 3.49
I 0.0000 0.0000 0.0000 (multiplicity 1)  6 Ti 2.47

Computed properties:
- magnetization (μB/atom) = 0.88
- D(E_F) (states/eV/f.u.) = 2.61
- uncorrected formation energy (meV per atom) = 862

***

[4]
## YTiI3 (SCAN)

Data for a PBEsol-optimized structure of YTiI3.

Lattice parameters (Å, degrees): 5.4451 5.4451 5.4451 90.00 90.00 90.00
With the nearest neighbours (Å) after each atom.
Space group Pm-3m (No. 221)
Symmetry-distinct sites (fractional):
Y 0.0000 0.0000 0.0000 (multiplicity 1)  12 I 3.85
Ti 0.5000 0.5000 0.5000 (multiplicity 1)  6 I 2.72
I 0.0000 0.5000 0.5000 (multiplicity 3)  2 Ti 2.72

Computed properties:
- magnetization (μB/atom) = 0.79
- D(E_F) (states/eV/f.u.) = 4.70
- uncorrected formation energy (meV per atom) = -265